Record 1
Computed, not measured: crystalline BaLuCdSn at its relaxed geometry at the GGA-PBE level of DFT.

## Properties
Formation energy = -0.3256 eV/atom
Symmetry = F-43m, No. 216
Mass density = 7.28 g cm⁻³

Lattice parameters (Å, degrees): 5.5960 5.5960 5.5960 60.00 60.00 60.00
With the nearest neighbours (Å) after each atom.
Fractional coordinates of all 4 atoms:
1 Ba 0.0000 0.0000 0.0000  4 Sn 3.43, 4 Cd 3.43
2 Lu 0.5000 0.5000 0.5000  4 Cd 3.43, 4 Sn 3.43
3 Cd 0.2500 0.2500 0.2500  4 Ba 3.43, 4 Lu 3.43
4 Sn 0.7500 0.7500 0.7500  4 Ba 3.43, 4 Lu 3.43



Record 2
Computed, not measured: crystalline BaMg2Cd at its relaxed geometry at the GGA-PBE level of DFT.

## Properties
Formation energy = -0.0373 eV/atom
Symmetry = P4/mmm, No. 123
Mass density = 4.07 g cm⁻³

Lattice parameters (Å, degrees): 3.7730 3.7730 8.5442 90.00 90.00 90.00
With the nearest neighbours (Å) after each atom.
Fractional coordinates of all 4 atoms:
1 Ba 0.0000 0.0000 0.0000  4 Ba 3.77, 8 Mg 3.78
2 Mg 0.5000 0.5000 0.3135  4 Cd 3.11, 1 Mg 3.19
3 Mg 0.5000 0.5000 0.6865  4 Cd 3.11, 1 Mg 3.19
4 Cd 0.0000 0.0000 0.5000  8 Mg 3.11



Record 3
Computed, not measured: crystalline Ba2Mg2Cd at its relaxed geometry at the GGA-PBE level of DFT.

## Properties
Formation energy = -0.0430 eV/atom
Symmetry = P4/mbm, No. 127
Relative energy among the computed polymorphs = 9.7 kJ per mole of atoms
Mass density = 3.93 g cm⁻³

Lattice parameters (Å, degrees): 8.0033 8.0033 5.7550 90.00 90.00 90.00
With the nearest neighbours (Å) after each atom.
Fractional coordinates of all 10 atoms:
1 Ba 0.1784 0.3216 0.0000  6 Mg 3.58-3.83
2 Ba 0.3216 0.8216 0.0000  6 Mg 3.58-3.83
3 Ba 0.6784 0.1784 0.0000  6 Mg 3.58-3.83
4 Ba 0.8216 0.6784 0.0000  6 Mg 3.58-3.83
5 Mg 0.1341 0.6341 0.5000  1 Mg 3.04, 2 Cd 3.12
6 Mg 0.3659 0.1341 0.5000  1 Mg 3.04, 2 Cd 3.12
7 Mg 0.6341 0.8659 0.5000  1 Mg 3.04, 2 Cd 3.12
8 Mg 0.8659 0.3659 0.5000  1 Mg 3.04, 2 Cd 3.12
9 Cd 0.0000 0.0000 0.5000  4 Mg 3.12
10 Cd 0.5000 0.5000 0.5000  4 Mg 3.12



Record 4
Computed, not measured: crystalline BaMg6Cd6 at its relaxed geometry at the GGA-PBE level of DFT.

## Properties
Formation energy = -0.1515 eV/atom
Symmetry = Immm, No. 71
Relative energy among the computed polymorphs = 0.6 kJ per mole of atoms
Mass density = 5.02 g cm⁻³

Lattice parameters (Å, degrees): 7.8421 7.8421 7.8421 134.58 99.85 97.30
With the nearest neighbours (Å) after each atom.
Fractional coordinates of all 13 atoms:
1 Ba 0.0000 0.0000 0.0000  8 Cd 3.55-3.74, 12 Mg 3.81-3.92
2 Mg 0.0000 0.0000 0.5000  6 Cd 2.97-3.17, 4 Mg 3.01-3.03
3 Mg 0.0000 0.5000 0.0000  6 Cd 2.97-3.17, 4 Mg 3.01-3.03
4 Mg 0.2287 0.5000 0.7287  4 Mg 3.01, 6 Cd 3.13-3.27
5 Mg 0.5000 0.0000 0.0000  6 Cd 2.97-3.17, 4 Mg 3.01-3.03
6 Mg 0.5000 0.5000 0.5000  6 Cd 2.97-3.17, 4 Mg 3.01-3.03
7 Mg 0.7713 0.5000 0.2713  4 Mg 3.01, 6 Cd 3.13-3.27
8 Cd 0.2119 0.7119 0.5000  6 Mg 2.97-3.19
9 Cd 0.3514 0.0000 0.3514  3 Cd 3.00-3.34, 6 Mg 3.17-3.27
10 Cd 0.3535 0.3535 0.0000  3 Cd 3.04-3.36, 6 Mg 3.13
11 Cd 0.6465 0.6465 0.0000  3 Cd 3.04-3.36, 6 Mg 3.13
12 Cd 0.6486 0.0000 0.6486  3 Cd 3.00-3.34, 6 Mg 3.17-3.27
13 Cd 0.7881 0.2881 0.5000  6 Mg 2.97-3.19



Record 5
Computed, not measured: crystalline BaMg2Cd at its relaxed geometry at the GGA-PBE level of DFT.

## Properties
Formation energy = -0.0406 eV/atom
Symmetry = P2/m, No. 10
Mass density = 3.92 g cm⁻³

Lattice parameters (Å, degrees): 3.7468 4.9930 6.9318 90.00 102.76 90.00
With the nearest neighbours (Å) after each atom.
Fractional coordinates of all 4 atoms:
1 Ba 0.0000 0.0000 0.0000  2 Cd 3.56, 8 Mg 3.68-3.82, 2 Ba 3.75
2 Mg 0.3353 0.5000 0.6931  2 Cd 2.96, 2 Mg 3.19-3.24
3 Mg 0.6647 0.5000 0.3069  2 Cd 2.96, 2 Mg 3.19-3.24
4 Cd 0.5000 0.0000 0.5000  4 Mg 2.96



Record 6
Computed, not measured: crystalline Ba3Mg2Cd7 at its relaxed geometry at the GGA-PBE level of DFT.

## Properties
Formation energy = -0.2558 eV/atom
Symmetry = R-3m, No. 166
Mass density = 5.91 g cm⁻³

Lattice parameters (Å, degrees): 10.5401 10.5401 10.5401 35.37 35.37 35.37
With the nearest neighbours (Å) after each atom.
Fractional coordinates of all 12 atoms:
1 Ba 0.0000 0.0000 0.0000  6 Mg 3.70, 12 Cd 4.00
2 Ba 0.1425 0.1425 0.1425  12 Cd 3.68-3.77, 3 Ba 3.96
3 Ba 0.8575 0.8575 0.8575  12 Cd 3.68-3.77, 3 Ba 3.96
4 Mg 0.3340 0.3340 0.3340  6 Cd 3.02-3.03
5 Mg 0.6660 0.6660 0.6660  6 Cd 3.02-3.03
6 Cd 0.0771 0.5829 0.5829  2 Mg 3.02-3.03, 5 Cd 3.15-3.24
7 Cd 0.4171 0.4171 0.9229  2 Mg 3.02-3.03, 5 Cd 3.15-3.24
8 Cd 0.4171 0.9229 0.4171  2 Mg 3.02-3.03, 5 Cd 3.15-3.24
9 Cd 0.5000 0.5000 0.5000  6 Cd 3.15
10 Cd 0.5829 0.0771 0.5829  2 Mg 3.02-3.03, 5 Cd 3.15-3.24
11 Cd 0.5829 0.5829 0.0771  2 Mg 3.02-3.03, 5 Cd 3.15-3.24
12 Cd 0.9229 0.4171 0.4171  2 Mg 3.02-3.03, 5 Cd 3.15-3.24



Record 7
Computed, not measured: crystalline Ba2Mg3Cd6 at its relaxed geometry at the GGA-PBE level of DFT.

## Properties
Formation energy = -0.1514 eV/atom
Symmetry = Cmmm, No. 65
Mass density = 5.02 g cm⁻³

Lattice parameters (Å, degrees): 8.4904 8.4904 4.7077 90.00 90.00 95.42
With the nearest neighbours (Å) after each atom.
Fractional coordinates of all 11 atoms:
1 Ba 0.2080 0.7920 0.0000  8 Cd 3.65-3.78
2 Ba 0.7920 0.2080 0.0000  8 Cd 3.65-3.78
3 Mg 0.3045 0.3045 0.0000  6 Cd 3.04-3.14, 2 Mg 3.25
4 Mg 0.5000 0.5000 0.5000  4 Cd 2.90, 4 Mg 3.25
5 Mg 0.6955 0.6955 0.0000  6 Cd 3.04-3.14, 2 Mg 3.25
6 Cd 0.1221 0.1221 0.5000  3 Cd 2.79-2.88
7 Cd 0.1568 0.4634 0.5000  2 Cd 2.79-2.88, 3 Mg 2.90-3.04
8 Cd 0.4634 0.1568 0.5000  2 Cd 2.79-2.88, 3 Mg 2.90-3.04
9 Cd 0.5366 0.8432 0.5000  2 Cd 2.79-2.88, 3 Mg 2.90-3.04
10 Cd 0.8432 0.5366 0.5000  2 Cd 2.79-2.88, 3 Mg 2.90-3.04
11 Cd 0.8779 0.8779 0.5000  3 Cd 2.79-2.88



Record 8
Computed, not measured: crystalline Ba4Mg3Cd at its relaxed geometry at the GGA-PBE level of DFT.

## Properties
Formation energy = -0.0780 eV/atom
Symmetry = Pmm2, No. 25
Relative energy among the computed polymorphs = 4.3 kJ per mole of atoms
Mass density = 3.55 g cm⁻³

Lattice parameters (Å, degrees): 4.5998 5.5643 13.4173 90.00 90.00 90.00
With the nearest neighbours (Å) after each atom.
Fractional coordinates of all 8 atoms:
1 Ba 0.0000 0.0000 0.0000  2 Cd 3.59, 5 Mg 3.77-3.99
2 Ba 0.0000 0.5000 0.2876  3 Mg 3.61-3.89, 4 Cd 3.78
3 Ba 0.5000 0.0000 0.4868  6 Mg 3.70-3.81, 1 Cd 3.78
4 Ba 0.5000 0.5000 0.7930  7 Mg 3.69-3.86
5 Mg 0.0000 0.0000 0.7027  2 Mg 3.25
6 Mg 0.0000 0.5000 0.5777  2 Mg 3.25
7 Mg 0.5000 0.5000 0.0805  2 Cd 3.25, 2 Ba 3.61
8 Cd 0.5000 0.0000 0.2052  2 Mg 3.25, 2 Ba 3.59



Record 9
Computed, not measured: crystalline Ba3Mg8Cd at its relaxed geometry at the GGA-PBE level of DFT.

## Properties
Formation energy = -0.0473 eV/atom
Symmetry = R3m, No. 160
Mass density = 3.16 g cm⁻³

Lattice parameters (Å, degrees): 11.1522 11.1522 11.1522 33.55 33.55 33.55
With the nearest neighbours (Å) after each atom.
Fractional coordinates of all 12 atoms:
1 Ba 0.0000 0.0000 0.0000  12 Mg 3.78-3.83, 4 Ba 4.02-4.05
2 Ba 0.1285 0.1285 0.1285  12 Mg 3.62-3.80, 3 Cd 3.85
3 Ba 0.6178 0.6178 0.6178  12 Mg 3.69-4.04, 1 Cd 3.91, 3 Ba 4.02
4 Mg 0.0609 0.0609 0.5595  6 Mg 3.16-3.24
5 Mg 0.0609 0.5595 0.0609  6 Mg 3.16-3.24
6 Mg 0.0685 0.5626 0.5626  6 Mg 3.18-3.29, 1 Cd 3.54
7 Mg 0.3112 0.3112 0.3112  6 Mg 3.24-3.29
8 Mg 0.5595 0.0609 0.0609  6 Mg 3.16-3.24
9 Mg 0.5626 0.0685 0.5626  6 Mg 3.18-3.29, 1 Cd 3.54
10 Mg 0.5626 0.5626 0.0685  6 Mg 3.18-3.29, 1 Cd 3.54
11 Mg 0.8130 0.8130 0.8130  6 Mg 3.16-3.19
12 Cd 0.4938 0.4938 0.4938  12 Mg 3.54-3.84, 4 Ba 3.85-3.91



Record 10
Computed, not measured: crystalline BaMg2Cd at its relaxed geometry at the GGA-PBE level of DFT.

## Properties
Formation energy = -0.1090 eV/atom
Symmetry = F222, No. 22
Mass density = 4.13 g cm⁻³

Lattice parameters (Å, degrees): 5.5495 5.5408 5.5124 60.27 60.12 59.61
With the nearest neighbours (Å) after each atom.
Fractional coordinates of all 4 atoms:
1 Ba 0.0000 0.0000 0.0000  4 Mg 3.39, 4 Cd 3.39
2 Mg 0.5000 0.5000 0.5000  4 Mg 3.39, 4 Cd 3.39
3 Mg 0.7500 0.7500 0.7500  4 Ba 3.39, 4 Mg 3.39
4 Cd 0.2500 0.2500 0.2500  4 Ba 3.39, 4 Mg 3.39



Record 11
Computed, not measured: crystalline Ba3Mg7Cd2 at its relaxed geometry at the GGA-PBE level of DFT.

## Properties
Formation energy = -0.1318 eV/atom
Symmetry = R-3m, No. 166
Mass density = 3.58 g cm⁻³

Lattice parameters (Å, degrees): 10.8707 10.8707 10.8707 34.82 34.82 34.82
With the nearest neighbours (Å) after each atom.
Fractional coordinates of all 12 atoms:
1 Ba 0.0000 0.0000 0.0000  6 Cd 3.76, 12 Mg 4.05
2 Ba 0.1447 0.1447 0.1447  12 Mg 3.82-3.85, 3 Ba 3.99
3 Ba 0.8553 0.8553 0.8553  12 Mg 3.82-3.85, 3 Ba 3.99
4 Mg 0.0785 0.5788 0.5788  2 Cd 3.03-3.08, 5 Mg 3.25-3.28
5 Mg 0.4212 0.4212 0.9215  2 Cd 3.03-3.08, 5 Mg 3.25-3.28
6 Mg 0.4212 0.9215 0.4212  2 Cd 3.03-3.08, 5 Mg 3.25-3.28
7 Mg 0.5000 0.5000 0.5000  6 Mg 3.28
8 Mg 0.5788 0.0785 0.5788  2 Cd 3.03-3.08, 5 Mg 3.25-3.28
9 Mg 0.5788 0.5788 0.0785  2 Cd 3.03-3.08, 5 Mg 3.25-3.28
10 Mg 0.9215 0.4212 0.4212  2 Cd 3.03-3.08, 5 Mg 3.25-3.28
11 Cd 0.3343 0.3343 0.3343  6 Mg 3.03-3.08
12 Cd 0.6657 0.6657 0.6657  6 Mg 3.03-3.08



Values of total magnetization, in order: 0.0 0.0 0.0 0.0 0.0 0.0 0.0 0.0 0.0 0.0 0.0, all in μB/f.u..
Values of uncorrected energy, in order: -12.66 -6.18 -16.33 -18.95 -6.19 -18.43 -15.79 -14.01 -20.01 -6.46 -20.34, all in eV per cell.